{
  "formula": "TbScZn",
  "functional": "GGA-PBE",
  "state": "relaxed",
  "ef_mev_per_atom": -202,
  "e_above_lowest_polymorph_mev_per_atom": 0.0,
  "cell": [[3.458, 0.000, 0.000], [0.000, 3.458, 0.000], [-1.729, -1.729, 5.897]],
  "species": ["Tb", "Sc", "Zn"],
  "fractional_positions": [[0.015, 0.015, 0.030], [0.306, 0.306, 0.611], [0.679, 0.679, 0.359]]
}